1.
# MnBe3Bi

A relaxed MnBe3Bi crystal (PBE-GGA, the Alexandria database).

Lattice parameters (Å, degrees): 4.2209 4.2209 4.2209 90.00 90.00 90.00
Fractional coordinates of all 5 atoms:
1 Mn 0.0000 0.0000 0.0000
2 Be 0.0000 0.0000 0.5000
3 Be 0.0000 0.5000 0.0000
4 Be 0.5000 0.0000 0.0000
5 Bi 0.5000 0.5000 0.5000

Results
calculated density = 6.42 Mg/m³
DOS(E_F) = 2.81 states/eV/cell

---

2.
# MnBe3Bi

A relaxed MnBe3Bi crystal (PBE-GGA, the Alexandria database).

Lattice parameters (Å, degrees): 4.6412 4.6412 4.6412 90.00 90.00 90.00
Fractional coordinates of all 5 atoms:
1 Mn 0.0000 0.0000 0.0000
2 Be 0.0000 0.5000 0.5000
3 Be 0.5000 0.0000 0.5000
4 Be 0.5000 0.5000 0.0000
5 Bi 0.5000 0.5000 0.5000

Results
calculated density = 4.83 Mg/m³
DOS(E_F) = 6.38 states/eV/cell

---

Order from most stable to least stable according to the calculation: 1, 2

---

1.
# MnBe2Bi2

A relaxed MnBe2Bi2 crystal (PBE-GGA, the Alexandria database).

Lattice parameters (Å, degrees): 6.7719 6.7719 3.7345 90.00 90.00 90.00
Fractional coordinates of all 10 atoms:
1 Mn 0.0000 0.0000 0.0000
2 Mn 0.5000 0.5000 0.0000
3 Be 0.1180 0.3820 0.0000
4 Be 0.3820 0.8820 0.0000
5 Be 0.6180 0.1180 0.0000
6 Be 0.8820 0.6180 0.0000
7 Bi 0.1859 0.6859 0.5000
8 Bi 0.3141 0.1859 0.5000
9 Bi 0.6859 0.8141 0.5000
10 Bi 0.8141 0.3141 0.5000

Results
calculated density = 9.52 Mg/m³
DOS(E_F) = 17.30 states/eV/cell

---

2.
# MnBe2Bi2

A relaxed MnBe2Bi2 crystal (PBE-GGA, the Alexandria database).

Lattice parameters (Å, degrees): 5.0887 5.0887 5.0887 115.94 115.94 97.19
Fractional coordinates of all 5 atoms:
1 Mn 0.0000 0.0000 0.0000
2 Be 0.3442 0.3442 0.0000
3 Be 0.6558 0.6558 0.0000
4 Bi 0.2500 0.7500 0.5000
5 Bi 0.7500 0.2500 0.5000

Results
calculated density = 8.31 Mg/m³
DOS(E_F) = 2.87 states/eV/cell

---

Order from most stable to least stable according to the calculation: 2, 1

---

1.
# Mn2BeBi

A relaxed Mn2BeBi crystal (PBE-GGA, the Alexandria database).

Lattice parameters (Å, degrees): 8.8881 8.8881 8.8881 155.31 155.31 35.20
Fractional coordinates of all 8 atoms:
1 Mn 0.0162 0.1250 0.3912
2 Mn 0.3750 0.9838 0.1088
3 Mn 0.7338 0.6250 0.6088
4 Mn 0.8750 0.2662 0.8912
5 Be 0.0000 0.0000 0.0000
6 Be 0.7500 0.2500 0.5000
7 Bi 0.2500 0.7500 0.5000
8 Bi 0.5000 0.5000 0.0000

Results
calculated density = 8.90 Mg/m³
DOS(E_F) = 6.12 states/eV/cell

---

2.
# Mn2BeBi

A relaxed Mn2BeBi crystal (PBE-GGA, the Alexandria database).

Lattice parameters (Å, degrees): 4.2877 4.2877 4.2877 60.00 60.00 60.00
Fractional coordinates of all 4 atoms:
1 Mn 0.2500 0.2500 0.2500
2 Mn 0.7500 0.7500 0.7500
3 Be 0.0000 0.0000 0.0000
4 Bi 0.5000 0.5000 0.5000

Results
calculated density = 9.77 Mg/m³
DOS(E_F) = 3.93 states/eV/cell

---

Order from most stable to least stable according to the calculation: 2, 1

---

1.
# Mn3BeBi

A relaxed Mn3BeBi crystal (PBE-GGA, the Alexandria database).

Lattice parameters (Å, degrees): 4.3333 4.3333 4.3333 90.00 90.00 90.00
Fractional coordinates of all 5 atoms:
1 Mn 0.0000 0.0000 0.5000
2 Mn 0.0000 0.5000 0.0000
3 Mn 0.5000 0.0000 0.0000
4 Be 0.0000 0.0000 0.0000
5 Bi 0.5000 0.5000 0.5000

Results
calculated density = 7.81 Mg/m³
DOS(E_F) = 3.31 states/eV/cell

---

2.
# Mn3BeBi

A relaxed Mn3BeBi crystal (PBE-GGA, the Alexandria database).

Lattice parameters (Å, degrees): 5.0877 5.0877 5.0877 90.00 90.00 90.00
Fractional coordinates of all 5 atoms:
1 Mn 0.0000 0.0000 0.5000
2 Mn 0.0000 0.5000 0.0000
3 Mn 0.5000 0.0000 0.0000
4 Be 0.5000 0.5000 0.5000
5 Bi 0.0000 0.0000 0.0000

Results
calculated density = 4.83 Mg/m³
DOS(E_F) = 4.03 states/eV/cell

---

Order from most stable to least stable according to the calculation: 1, 2

---

1.
# Mn2BeNbBi

A relaxed Mn2BeNbBi crystal (PBE-GGA, the Alexandria database).

Lattice parameters (Å, degrees): 4.7374 4.7374 4.6342 90.00 90.00 90.00
Fractional coordinates of all 5 atoms:
1 Mn 0.0000 0.5000 0.0000
2 Mn 0.5000 0.0000 0.0000
3 Be 0.0000 0.0000 0.5000
4 Nb 0.0000 0.0000 0.0000
5 Bi 0.5000 0.5000 0.5000

Results
calculated density = 6.72 Mg/m³
DOS(E_F) = 3.76 states/eV/cell

---

2.
# Mn2BeNbBi

A relaxed Mn2BeNbBi crystal (PBE-GGA, the Alexandria database).

Lattice parameters (Å, degrees): 4.1975 4.1975 4.8232 90.00 90.00 90.00
Fractional coordinates of all 5 atoms:
1 Mn 0.0000 0.5000 0.0000
2 Mn 0.5000 0.0000 0.0000
3 Be 0.0000 0.0000 0.0000
4 Nb 0.5000 0.5000 0.5000
5 Bi 0.0000 0.0000 0.5000

Results
calculated density = 8.22 Mg/m³
DOS(E_F) = 4.46 states/eV/cell

---

Order from most stable to least stable according to the calculation: 2, 1

---

1.
# MnBeBiP

A relaxed MnBeBiP crystal (PBE-GGA, the Alexandria database).

Lattice parameters (Å, degrees): 4.2015 4.2015 6.0166 115.98 115.98 47.90
Fractional coordinates of all 4 atoms:
1 Mn 0.0000 0.0000 0.0000
2 Be 0.3299 0.3299 0.0988
3 Bi 0.7176 0.7176 0.4408
4 P 0.6612 0.6612 0.8940

Results
calculated density = 7.30 Mg/m³
DOS(E_F) = 2.44 states/eV/cell

---

2.
# MnBeBiP

A relaxed MnBeBiP crystal (PBE-GGA, the Alexandria database).

Lattice parameters (Å, degrees): 6.8063 6.8063 6.8063 30.59 30.59 30.59
Fractional coordinates of all 4 atoms:
1 Mn 0.0000 0.0000 0.0000
2 Be 0.5801 0.5801 0.5801
3 Bi 0.4371 0.4371 0.4371
4 P 0.2595 0.2595 0.2595

Results
calculated density = 6.97 Mg/m³
DOS(E_F) = 1.78 states/eV/cell

---

3.
# MnBeBiP

A relaxed MnBeBiP crystal (PBE-GGA, the Alexandria database).

Lattice parameters (Å, degrees): 4.4717 3.7211 4.5325 90.00 96.19 90.00
Fractional coordinates of all 4 atoms:
1 Mn 0.0000 0.0000 0.0000
2 Be 0.1762 0.5000 0.3388
3 Bi 0.5032 0.5000 0.8723
4 P 0.0037 0.0000 0.4916

Results
calculated density = 6.73 Mg/m³
DOS(E_F) = 1.60 states/eV/cell

---

4.
# MnBeBiP

A relaxed MnBeBiP crystal (PBE-GGA, the Alexandria database).

Lattice parameters (Å, degrees): 3.4984 3.4984 7.1811 104.21 104.21 59.51
Fractional coordinates of all 4 atoms:
1 Mn 0.0000 0.0000 0.0000
2 Be 0.8898 0.8898 0.6665
3 Bi 0.7655 0.7655 0.2921
4 P 0.2603 0.2603 0.7822

Results
calculated density = 6.95 Mg/m³
DOS(E_F) = 1.65 states/eV/cell

---

Order from most stable to least stable according to the calculation: 4, 2, 1, 3